## 1
! LaSbP2S, optimized geometry, DFT PBE-GGA; values from VASP
! - Crystal system: tetragonal
&SYSTEM
  ibrav = 0, nat = 5, ntyp = 4
/
ATOMIC_SPECIES
Sb 121.76 Sb.upf
S 32.06 S.upf
P 30.97 P.upf
La 138.91 La.upf
ATOMIC_POSITIONS angstrom
Sb 2.759 2.759 2.656
S 0.000 0.000 2.656
P 2.759 0.000 0.000
P 0.000 2.759 0.000
La 0.000 0.000 0.000
CELL_PARAMETERS angstrom
5.518 0.000 0.000
0.000 5.518 0.000
0.000 0.000 5.312

=====

## 2
! LaSbP2S, optimized geometry, DFT PBE-GGA; values from VASP
! - Crystal system: tetragonal
&SYSTEM
  ibrav = 0, nat = 5, ntyp = 4
/
ATOMIC_SPECIES
P 30.97 P.upf
Sb 121.76 Sb.upf
S 32.06 S.upf
La 138.91 La.upf
ATOMIC_POSITIONS angstrom
P 0.000 2.496 0.000
P 2.496 0.000 0.000
Sb 0.000 0.000 0.000
S 0.000 0.000 2.533
La 2.496 2.496 2.533
CELL_PARAMETERS angstrom
4.992 0.000 0.000
0.000 4.992 0.000
0.000 0.000 5.066

=====

Last place for stability: 1

=====

## 1
! LaPSeS2, optimized geometry, DFT PBE-GGA; values from VASP
! - Crystal system: tetragonal
&SYSTEM
  ibrav = 0, nat = 5, ntyp = 4
/
ATOMIC_SPECIES
S 32.06 S.upf
La 138.91 La.upf
P 30.97 P.upf
Se 78.96 Se.upf
ATOMIC_POSITIONS angstrom
S 2.707 0.000 0.000
S 0.000 2.707 0.000
La 0.000 0.000 0.000
P 0.000 0.000 2.999
Se 2.707 2.707 2.999
CELL_PARAMETERS angstrom
5.414 0.000 0.000
0.000 5.414 0.000
0.000 0.000 5.998

=====

## 2
! LaPSeS2, optimized geometry, DFT PBE-GGA; values from VASP
! - Crystal system: tetragonal
&SYSTEM
  ibrav = 0, nat = 5, ntyp = 4
/
ATOMIC_SPECIES
La 138.91 La.upf
Se 78.96 Se.upf
P 30.97 P.upf
S 32.06 S.upf
ATOMIC_POSITIONS angstrom
La 2.417 2.417 2.403
Se 0.000 0.000 0.000
P 0.000 0.000 2.403
S 0.000 2.417 0.000
S 2.417 0.000 0.000
CELL_PARAMETERS angstrom
4.834 0.000 0.000
0.000 4.834 0.000
0.000 0.000 4.806

=====

Last place for stability: 1

=====

## 1
! LaSiPS2, optimized geometry, DFT PBE-GGA; values from VASP
! - Crystal system: tetragonal
&SYSTEM
  ibrav = 0, nat = 5, ntyp = 4
/
ATOMIC_SPECIES
La 138.91 La.upf
Si 28.09 Si.upf
S 32.06 S.upf
P 30.97 P.upf
ATOMIC_POSITIONS angstrom
La 0.000 0.000 0.000
Si 0.000 3.080 0.000
S 0.000 0.000 2.698
S 2.698 0.000 0.000
P 2.698 3.080 2.698
CELL_PARAMETERS angstrom
5.396 0.000 0.000
0.000 6.161 0.000
0.000 0.000 5.396

=====

## 2
! LaSiPS2, optimized geometry, DFT PBE-GGA; values from VASP
! - Crystal system: tetragonal
&SYSTEM
  ibrav = 0, nat = 5, ntyp = 4
/
ATOMIC_SPECIES
Si 28.09 Si.upf
P 30.97 P.upf
S 32.06 S.upf
La 138.91 La.upf
ATOMIC_POSITIONS angstrom
Si -2.818 3.337 1.777
P 0.658 1.749 2.020
S -1.077 2.041 -1.416
S -2.398 -0.452 1.173
La 0.000 0.000 0.000
CELL_PARAMETERS angstrom
-2.155 4.082 -2.832
-4.796 -0.905 2.345
1.316 3.498 4.040

=====

## 3
! LaSiPS2, optimized geometry, DFT PBE-GGA; values from VASP
! - Crystal system: tetragonal
&SYSTEM
  ibrav = 0, nat = 5, ntyp = 4
/
ATOMIC_SPECIES
S 32.06 S.upf
Si 28.09 Si.upf
P 30.97 P.upf
La 138.91 La.upf
ATOMIC_POSITIONS angstrom
S 0.000 2.336 0.000
S 2.336 0.000 0.000
Si 0.000 0.000 0.000
P 0.000 0.000 2.302
La 2.336 2.336 2.302
CELL_PARAMETERS angstrom
4.673 0.000 0.000
0.000 4.673 0.000
0.000 0.000 4.604

=====

Last place for stability: 1